First-principles (PBE-GGA) data for a geometry-optimized Ac3Ga5S12 structure, as listed in Alexandria via LeMat-Bulk.

Unit cell a=13.507 b=13.507 c=13.507 alpha=109.47 beta=109.47 gamma=109.47
Sites, in units of the cell vectors:
Ac 0.750 0.375 0.125
Ac 0.875 0.750 0.125
Ac 0.375 0.750 0.625
Ac 0.250 0.125 0.375
Ac 0.875 0.125 0.250
Ac 0.375 0.625 0.250
Ac 0.625 0.375 0.750
Ac 0.125 0.875 0.750
Ac 0.750 0.875 0.625
Ac 0.625 0.250 0.375
Ac 0.125 0.250 0.875
Ac 0.250 0.625 0.875
Ga 0.125 0.375 0.250
Ga 0.000 0.500 0.000
Ga 0.000 0.000 0.000
Ga 0.375 0.250 0.125
Ga 0.500 0.000 0.500
Ga 0.500 0.500 0.000
Ga 0.125 0.750 0.375
Ga 0.750 0.125 0.875
Ga 0.750 0.625 0.375
Ga 0.375 0.125 0.750
Ga 0.625 0.875 0.250
Ga 0.500 0.500 0.500
Ga 0.500 0.000 0.000
Ga 0.000 0.000 0.500
Ga 0.250 0.375 0.625
Ga 0.250 0.875 0.125
Ga 0.000 0.500 0.500
Ga 0.875 0.250 0.625
Ga 0.625 0.750 0.875
Ga 0.875 0.625 0.750
S 0.702 0.116 0.023
S 0.321 0.523 0.407
S 0.977 0.384 0.298
S 0.523 0.202 0.116
S 0.586 0.702 0.679
S 0.977 0.593 0.179
S 0.321 0.798 0.414
S 0.093 0.914 0.116
S 0.593 0.977 0.679
S 0.702 0.586 0.179
S 0.798 0.477 0.384
S 0.821 0.907 0.023
S 0.116 0.702 0.523
S 0.384 0.407 0.086
S 0.086 0.907 0.384
S 0.414 0.116 0.593
S 0.086 0.179 0.202
S 0.477 0.679 0.093
S 0.821 0.914 0.298
S 0.116 0.414 0.093
S 0.384 0.977 0.798
S 0.593 0.616 0.414
S 0.907 0.821 0.523
S 0.798 0.321 0.914
S 0.407 0.384 0.586
S 0.093 0.179 0.477
S 0.202 0.679 0.086
S 0.179 0.086 0.702
S 0.616 0.023 0.202
S 0.884 0.586 0.907
S 0.523 0.321 0.907
S 0.586 0.884 0.407
S 0.914 0.821 0.798
S 0.914 0.093 0.616
S 0.884 0.298 0.477
S 0.179 0.093 0.977
S 0.616 0.593 0.914
S 0.407 0.023 0.321
S 0.298 0.414 0.821
S 0.202 0.523 0.616
S 0.907 0.086 0.884
S 0.679 0.202 0.586
S 0.477 0.798 0.884
S 0.023 0.407 0.821
S 0.414 0.298 0.321
S 0.023 0.616 0.702
S 0.679 0.477 0.593
S 0.298 0.884 0.977

## Properties
Energy relative to the elements, uncorrected: -28.13 kcal/mol of atoms
Raw total energy: -405.6 eV per cell
Total magnetization: 0.000 μB/f.u.

***

First-principles (PBE-GGA) data for a geometry-optimized TlW2Cl structure, as listed in Alexandria via LeMat-Bulk.

Unit cell a=9.352 b=9.352 c=9.352 alpha=18.33 beta=18.33 gamma=18.33
Sites, in units of the cell vectors:
Cl 0.250 0.250 0.250
Tl 0.750 0.750 0.750
W 0.994 0.994 0.994
W 0.506 0.506 0.506

## Properties
Energy relative to the elements, uncorrected: 24.15 kcal/mol of atoms
Excess energy over the best structure of this formula in the dataset: 756 meV/atom
Raw total energy: -25.9 eV per cell
Total magnetization: 0.000 μB/f.u.

***

First-principles (PBE-GGA) data for a geometry-optimized Cs2K4HgBi2 structure, as listed in Alexandria via LeMat-Bulk.

Unit cell a=6.270 b=9.407 c=9.407 alpha=57.95 beta=75.46 gamma=75.46
Sites, in units of the cell vectors:
Cs 0.322 0.642 0.642
Cs 0.678 0.358 0.358
K 0.169 0.650 0.083
K 0.831 0.917 0.350
K 0.831 0.350 0.917
K 0.169 0.083 0.650
Hg 0.500 0.000 0.000
Bi 0.296 0.184 0.184
Bi 0.704 0.816 0.816

## Properties
Raw total energy: -16.5 eV per cell
Total magnetization: 0.000 μB/f.u.

***

First-principles (PBE-GGA) data for a geometry-optimized Hf2Tc2Ge structure, as listed in Alexandria via LeMat-Bulk.

Unit cell a=6.514 b=6.514 c=4.265 alpha=90.00 beta=90.00 gamma=90.00
Sites, in units of the cell vectors:
Ge 0.000 0.000 0.000
Ge 0.500 0.500 0.000
Hf 0.179 0.679 0.500
Hf 0.679 0.821 0.500
Hf 0.821 0.321 0.500
Hf 0.321 0.179 0.500
Tc 0.363 0.863 0.000
Tc 0.863 0.637 0.000
Tc 0.637 0.137 0.000
Tc 0.137 0.363 0.000

## Properties
Raw total energy: -92.9 eV per cell
Total magnetization: 0.000 μB/f.u.

***

First-principles (PBE-GGA) data for a geometry-optimized AlRe4Tc structure, as listed in Alexandria via LeMat-Bulk.

Unit cell a=5.139 b=5.139 c=5.139 alpha=60.00 beta=60.00 gamma=60.00
Sites, in units of the cell vectors:
Al 0.000 0.000 0.000
Re 0.878 0.374 0.374
Re 0.374 0.374 0.878
Re 0.374 0.878 0.374
Re 0.374 0.374 0.374
Tc 0.750 0.750 0.750

## Properties
Raw total energy: -61.8 eV per cell
Total magnetization: 0.000 μB/f.u.

***

First-principles (PBE-GGA) data for a geometry-optimized La2Mg2Rh structure, as listed in Alexandria via LeMat-Bulk.

Unit cell a=6.906 b=6.906 c=5.394 alpha=90.00 beta=90.00 gamma=90.00
Sites, in units of the cell vectors:
Mg 0.349 0.849 0.000
Mg 0.849 0.651 0.000
Mg 0.651 0.151 0.000
Mg 0.151 0.349 0.000
Rh 0.000 0.000 0.000
Rh 0.500 0.500 0.000
La 0.173 0.673 0.500
La 0.673 0.827 0.500
La 0.827 0.327 0.500
La 0.327 0.173 0.500

## Properties
Excess energy over the best structure of this formula in the dataset: 0 meV/atom
Raw total energy: -41.9 eV per cell
Total magnetization: 0.000 μB/f.u.

***

First-principles (PBE-GGA) data for a geometry-optimized NaAcLa structure, as listed in Alexandria via LeMat-Bulk.

Unit cell a=3.791 b=3.791 c=8.891 alpha=102.31 beta=102.31 gamma=90.00
Sites, in units of the cell vectors:
Na 0.002 0.002 0.005
Ac 0.328 0.328 0.657
La 0.669 0.669 0.338

## Properties
Excess energy over the best structure of this formula in the dataset: 27 meV/atom
Raw total energy: -10.0 eV per cell
Total magnetization: 0.000 μB/f.u.

***

First-principles (PBE-GGA) data for a geometry-optimized CsHg2S3 structure, as listed in Alexandria via LeMat-Bulk.

Unit cell a=7.123 b=8.801 c=7.359 alpha=90.08 beta=99.21 gamma=124.74
Sites, in units of the cell vectors:
Cs 0.345 0.710 0.052
Cs 0.655 0.290 0.948
Hg 0.000 0.000 0.000
Hg 0.500 0.500 0.500
Hg 0.835 0.143 0.528
Hg 0.165 0.857 0.472
S 0.110 0.324 0.314
S 0.133 0.265 0.837
S 0.890 0.676 0.686
S 0.504 0.822 0.582
S 0.496 0.178 0.418
S 0.867 0.735 0.163

## Properties
Energy relative to the elements, uncorrected: -6.45 kcal/mol of atoms
Excess energy over the best structure of this formula in the dataset: 0 meV/atom
Raw total energy: -31.0 eV per cell
Total magnetization: 0.000 μB/f.u.

***

> total magnetization of number 4 (Hf2Tc2Ge)?

0.000 μB/f.u.

***

> Which value of total magnetization does entry 5 give?

0.000 μB/f.u.

***

> The lowest raw total energy belongs to which entry?

Ac3Ga5S12